# 1
This record from Alexandria describes crystalline La2Tc2Ag at its relaxed geometry. The functional is PBE-GGA.

DFT formation energy	11.3	kJ/mol of atoms
electronic total energy	-65.71	eV/cell

```
data_La2Tc2Ag
_chemical_formula_sum 'La4 Tc4 Ag2'
_space_group_name_H-M_alt 'P 4/m b m'
_space_group_IT_number 127
_space_group_name_Hall '-P 4 2ab'
_cell_length_a 7.203
_cell_length_b 7.203
_cell_length_c 4.532
_cell_angle_alpha 90.00
_cell_angle_beta 90.00
_cell_angle_gamma 90.00
loop_
_atom_site_label
_atom_site_type_symbol
_atom_site_fract_x
_atom_site_fract_y
_atom_site_fract_z
La1 La 0.185 0.315 0.000
Tc1 Tc 0.112 0.612 0.500
Ag1 Ag 0.000 0.000 0.500
```


# 2
This record from Alexandria describes crystalline SmIr4Pb at its relaxed geometry. The functional is PBE-GGA.

DFT formation energy	-24.0	kJ/mol of atoms
electronic total energy	-181.45	eV/cell

```
data_SmIr4Pb
_chemical_formula_sum 'Sm4 Ir16 Pb4'
_space_group_name_H-M_alt 'F -4 3 m'
_space_group_IT_number 216
_space_group_name_Hall 'F -4 2 3'
_cell_length_a 7.643
_cell_length_b 7.643
_cell_length_c 7.643
_cell_angle_alpha 90.00
_cell_angle_beta 90.00
_cell_angle_gamma 90.00
loop_
_atom_site_label
_atom_site_type_symbol
_atom_site_fract_x
_atom_site_fract_y
_atom_site_fract_z
Sm1 Sm 0.000 0.000 0.000
Ir1 Ir 0.125 0.125 0.375
Pb1 Pb 0.250 0.250 0.750
```


Which formula does entry 1 have?
La2Tc2Ag